Computed, not measured: a geometry-optimized CdOsBrCl structure at the GGA-PBE level of DFT.

Formation energy (no corrections) ... 217 meV per atom
Magnetization ... 0.00 μB/cell
VASP energy ... -3.700 eV per atom

a = 14.0569 Å, b = 4.9060 Å, c = 3.0759 Å
α = 90.00°, β = 102.29°, γ = 90.00°
Space group Cm (No. 8)
Unique sites:
Cd1 0.0000 0.0000 0.0000
Os1 0.0016 0.5000 0.5019
Br1 0.3522 0.0000 0.8566
Cl1 0.1385 0.5000 0.1351

=====

Computed, not measured: a geometry-optimized AlTcMo3 structure at the GGA-PBE level of DFT.

ΔE_f ... 1496 meV per atom
Magnetization ... 0.00 μB/cell
VASP energy ... -7.825 eV per atom

a = 4.6810 Å, b = 4.6810 Å, c = 4.6810 Å
α = 90.00°, β = 90.00°, γ = 90.00°
Space group Pm-3m (No. 221)
Unique sites:
Al1 0.0000 0.0000 0.0000
Tc1 0.5000 0.5000 0.5000
Mo1 0.0000 0.5000 0.5000

=====

Computed, not measured: a geometry-optimized CoCuTe2 structure at the GGA-PBE level of DFT.

Formation energy (no corrections) ... 85 meV per atom
Magnetization ... 0.00 μB/cell
VASP energy ... -4.286 eV per atom

a = 3.3787 Å, b = 3.3787 Å, c = 7.3602 Å
α = 90.00°, β = 90.00°, γ = 90.00°
Space group P4mm (No. 99)
Unique sites:
Co1 0.0000 0.0000 0.0000
Cu1 0.5000 0.5000 0.1790
Te1 0.0000 0.0000 0.3542
Te2 0.5000 0.5000 0.8341

=====

Computed, not measured: a geometry-optimized BPb3N structure at the GGA-PBE level of DFT.

Formation energy (no corrections) ... 1322 meV per atom
Magnetization ... 0.00 μB/cell
VASP energy ... -3.903 eV per atom

a = 4.9318 Å, b = 4.9318 Å, c = 4.9318 Å
α = 90.00°, β = 90.00°, γ = 90.00°
Space group Pm-3m (No. 221)
Unique sites:
B1 0.0000 0.0000 0.0000
Pb1 0.0000 0.5000 0.5000
N1 0.5000 0.5000 0.5000

=====

Computed, not measured: a geometry-optimized CrTe2IrI structure at the GGA-PBE level of DFT.

Formation energy (no corrections) ... 757 meV per atom
Magnetization ... 3.65 μB/cell
VASP energy ... -4.507 eV per atom

a = 5.2460 Å, b = 5.2460 Å, c = 5.5554 Å
α = 90.00°, β = 90.00°, γ = 90.00°
Space group P4/mmm (No. 123)
Unique sites:
Cr1 0.0000 0.0000 0.0000
Te1 0.0000 0.5000 0.5000
Ir1 0.5000 0.5000 0.5000
I1 0.5000 0.5000 0.0000

=====

Computed, not measured: a geometry-optimized AlTl2Mo structure at the GGA-PBE level of DFT.

ΔE_f ... 664 meV per atom
Magnetization ... 0.00 μB/cell
VASP energy ... -4.162 eV per atom

a = 3.0719 Å, b = 3.0719 Å, c = 31.7823 Å
α = 90.00°, β = 90.00°, γ = 120.00°
Space group R-3m (No. 166, hexagonal axes)
Unique sites:
Al1 0.0000 0.0000 0.0000
Tl1 0.0000 0.0000 0.2445
Mo1 0.0000 0.0000 0.5000

=====

Computed, not measured: a geometry-optimized Li5Mg2Hg12 structure at the GGA-PBE level of DFT.

ΔE_f ... -197 meV per atom
Magnetization ... 0.00 μB/cell
VASP energy ... -1.059 eV per atom

a = 13.7997 Å, b = 8.0909 Å, c = 8.9654 Å
α = 90.00°, β = 123.13°, γ = 90.00°
Space group C2/m (No. 12)
Unique sites:
Li1 0.0000 0.0000 0.0000
Li2 0.2189 0.5000 0.7842
Li3 0.2427 0.5000 0.3379
Mg1 0.0000 0.1980 0.5000
Hg1 0.0380 0.5000 0.3637
Hg2 0.1267 0.0000 0.8138
Hg3 0.1279 0.3097 0.0005
Hg4 0.1437 0.1840 0.3310

=====

Computed, not measured: a geometry-optimized Ir2C structure at the GGA-PBE level of DFT.

ΔE_f ... 2657 meV per atom
Magnetization ... 0.00 μB/cell
VASP energy ... -6.324 eV per atom

a = 7.2168 Å, b = 7.2168 Å, c = 7.2168 Å
α = 90.00°, β = 90.00°, γ = 90.00°
Space group Fd-3m (No. 227, origin choice 2)
Unique sites:
Ir1 0.0000 0.0000 0.0000
C1 0.1250 0.1250 0.6250

=====

Computed, not measured: a geometry-optimized Fe5Rh4 structure at the GGA-PBE level of DFT.

ΔE_f ... 32 meV per atom
Magnetization ... 29.72 μB/cell
VASP energy ... -7.937 eV per atom

a = 7.9752 Å, b = 7.9752 Å, c = 3.7111 Å
α = 90.00°, β = 90.00°, γ = 90.00°
Space group I4/mmm (No. 139)
Unique sites:
Fe1 0.0000 0.0000 0.0000
Fe2 0.1665 0.1665 0.5000
Rh1 0.0000 0.3257 0.0000

=====

Computed, not measured: a geometry-optimized La2Ni3AgAs4 structure at the GGA-PBE level of DFT.

ΔE_f ... -783 meV per atom
Magnetization ... 0.00 μB/cell
VASP energy ... -5.648 eV per atom

a = 4.3341 Å, b = 4.3341 Å, c = 9.7838 Å
α = 90.00°, β = 90.00°, γ = 90.00°
Space group P-4m2 (No. 115)
Unique sites:
La1 0.0000 0.5000 0.2421
Ni1 0.0000 0.5000 0.8908
Ni2 0.5000 0.5000 0.5000
Ag1 0.0000 0.0000 0.5000
As1 0.0000 0.0000 0.0000
As2 0.0000 0.5000 0.6459
As3 0.5000 0.5000 0.0000

=====

Computed, not measured: a geometry-optimized RbGaC structure at the GGA-PBE level of DFT.

ΔE_f ... 638 meV per atom
Magnetization ... 0.00 μB/cell
VASP energy ... -3.768 eV per atom

a = 10.5594 Å, b = 5.7241 Å, c = 6.1933 Å
α = 90.00°, β = 90.00°, γ = 90.00°
Space group Pnma (No. 62)
Unique sites:
Rb1 0.1554 0.2500 0.0200
Ga1 0.0000 0.0000 0.5000
C1 0.0621 0.7500 0.3376

=====

Computed, not measured: a geometry-optimized Pm3Pr4ThS8 structure at the GGA-PBE level of DFT.

Formation energy (no corrections) ... -1998 meV per atom
Magnetization ... 0.00 μB/cell
VASP energy ... -6.611 eV per atom

a = 8.1395 Å, b = 8.1395 Å, c = 19.9567 Å
α = 90.00°, β = 90.00°, γ = 120.00°
Space group R-3m (No. 166, hexagonal axes)
Unique sites:
Pm1 0.0000 0.5000 0.0000
Pr1 0.0000 0.0000 0.5000
Pr2 0.0000 0.5000 0.5000
Th1 0.0000 0.0000 0.0000
S1 0.0000 0.0000 0.2522
S2 0.9995 0.4998 0.2523

=====

Computed, not measured: a geometry-optimized Cs2TlCd12Au3 structure at the GGA-PBE level of DFT.

ΔE_f ... 54 meV per atom
Magnetization ... 0.00 μB/cell
VASP energy ... -1.329 eV per atom

a = 9.9578 Å, b = 9.9578 Å, c = 22.1911 Å
α = 90.00°, β = 90.00°, γ = 120.00°
Space group R-3m (No. 166, hexagonal axes)
Unique sites:
Cs1 0.0000 0.0000 0.0949
Tl1 0.0000 0.0000 0.5000
Cd1 0.0032 0.5016 0.1274
Cd2 0.1104 0.2207 0.7181
Au1 0.0000 0.5000 0.0000

=====

Computed, not measured: a geometry-optimized Pm2Be2Au5 structure at the GGA-PBE level of DFT.

ΔE_f ... -492 meV per atom
Magnetization ... 0.00 μB/cell
VASP energy ... -4.197 eV per atom

a = 4.3738 Å, b = 4.3738 Å, c = 9.0660 Å
α = 90.00°, β = 90.00°, γ = 90.00°
Space group P4/mmm (No. 123)
Unique sites:
Pm1 0.0000 0.0000 0.0000
Pm2 0.0000 0.0000 0.5000
Be1 0.5000 0.5000 0.1321
Au1 0.0000 0.5000 0.2518
Au2 0.5000 0.5000 0.5000

=====

Computed, not measured: a geometry-optimized Sm2Dy5Th2 structure at the GGA-PBE level of DFT.

ΔE_f ... 267 meV per atom
Magnetization ... 0.00 μB/cell
VASP energy ... -4.987 eV per atom

a = 22.5503 Å, b = 3.4790 Å, c = 8.0440 Å
α = 90.00°, β = 98.91°, γ = 90.00°
Space group C2/m (No. 12)
Unique sites:
Sm1 0.1753 0.0000 0.1507
Dy1 0.0000 0.0000 0.0000
Dy2 0.0906 0.0000 0.7292
Dy3 0.1924 0.5000 0.5459
Th1 0.0527 0.5000 0.3536

=====

Computed, not measured: a geometry-optimized NpH8Ir2Rh structure at the GGA-PBE level of DFT.

Magnetization ... 2.47 μB/cell
VASP energy ... -5.371 eV per atom

a = 4.8334 Å, b = 4.8334 Å, c = 5.7735 Å
α = 90.00°, β = 90.00°, γ = 120.00°
Space group P-3m1 (No. 164)
Unique sites:
Np1 0.0000 0.0000 0.0000
H1 0.1780 0.3560 0.3336
H2 0.3333 0.6667 0.8429
Ir1 0.3333 0.6667 0.1250
Rh1 0.0000 0.0000 0.5000

=====

Computed, not measured: a geometry-optimized Sm4ScCu5 structure at the GGA-PBE level of DFT.

ΔE_f ... -188 meV per atom
Magnetization ... 0.00 μB/cell
VASP energy ... -4.757 eV per atom

a = 3.4691 Å, b = 3.4691 Å, c = 17.6518 Å
α = 90.00°, β = 90.00°, γ = 90.00°
Space group P4/mmm (No. 123)
Unique sites:
Sm1 0.0000 0.0000 0.1026
Sm2 0.0000 0.0000 0.3087
Sc1 0.0000 0.0000 0.5000
Cu1 0.5000 0.5000 0.0000
Cu2 0.5000 0.5000 0.2051
Cu3 0.5000 0.5000 0.4190

=====

Computed, not measured: a geometry-optimized La2Dy2YIn5 structure at the GGA-PBE level of DFT.

ΔE_f ... -373 meV per atom
Magnetization ... 0.00 μB/cell
VASP energy ... -4.294 eV per atom

a = 11.0858 Å, b = 11.0858 Å, c = 4.6665 Å
α = 90.00°, β = 90.00°, γ = 90.00°
Space group P4/mbm (No. 127)
Unique sites:
La1 0.1760 0.3240 0.0000
Dy1 0.1256 0.6256 0.0000
Y1 0.0000 0.0000 0.0000
In1 0.0000 0.5000 0.5000
In2 0.0611 0.8061 0.5000

=====

Computed, not measured: a geometry-optimized PmPuGaGe structure at the GGA-PBE level of DFT.

ΔE_f ... -433 meV per atom
Magnetization ... 22.44 μB/cell
VASP energy ... -7.115 eV per atom

a = 7.2322 Å, b = 7.2322 Å, c = 7.2322 Å
α = 90.00°, β = 90.00°, γ = 90.00°
Space group F-43m (No. 216)
Unique sites:
Pm1 0.0000 0.0000 0.0000
Pu1 0.0000 0.0000 0.5000
Ga1 0.2500 0.2500 0.2500
Ge1 0.2500 0.2500 0.7500

=====

Computed, not measured: a geometry-optimized ZnAs2Pt structure at the GGA-PBE level of DFT.

ΔE_f ... -32 meV per atom
Magnetization ... 0.00 μB/cell
VASP energy ... -4.186 eV per atom

a = 2.8658 Å, b = 3.6547 Å, c = 6.8981 Å
α = 90.00°, β = 90.00°, γ = 90.00°
Space group Pmm2 (No. 25)
Unique sites:
Zn1 0.0000 0.0000 0.0000
As1 0.0000 0.0000 0.5823
As2 0.5000 0.5000 0.2022
Pt1 0.5000 0.5000 0.7810

=====

Computed, not measured: a geometry-optimized Ba2BiSb3 structure at the GGA-PBE level of DFT.

Formation energy (no corrections) ... -424 meV per atom
Magnetization ... 0.00 μB/cell
VASP energy ... -3.773 eV per atom

a = 4.2076 Å, b = 6.9403 Å, c = 16.2012 Å
α = 90.00°, β = 90.00°, γ = 90.00°
Space group Immm (No. 71)
Unique sites:
Ba1 0.0000 0.0000 0.1706
Bi1 0.0000 0.0000 0.5000
Sb1 0.0000 0.5000 0.1479
Sb2 0.0000 0.5000 0.5000

=====

Computed, not measured: a geometry-optimized CaAu3F structure at the GGA-PBE level of DFT.

Formation energy (no corrections) ... 512 meV per atom
Magnetization ... 1.14 μB/cell
VASP energy ... -2.229 eV per atom

a = 5.5312 Å, b = 5.5312 Å, c = 5.5312 Å
α = 90.00°, β = 90.00°, γ = 90.00°
Space group Pm-3m (No. 221)
Unique sites:
Ca1 0.0000 0.0000 0.0000
Au1 0.0000 0.0000 0.5000
F1 0.5000 0.5000 0.5000

=====

Computed, not measured: a geometry-optimized AlFe2Pb structure at the GGA-PBE level of DFT.

ΔE_f ... 516 meV per atom
Magnetization ... 17.19 μB/cell
VASP energy ... -5.578 eV per atom

a = 6.3432 Å, b = 6.3432 Å, c = 6.3432 Å
α = 90.00°, β = 90.00°, γ = 90.00°
Space group F-43m (No. 216)
Unique sites:
Al1 0.0000 0.0000 0.0000
Fe1 0.0000 0.0000 0.5000
Fe2 0.2500 0.2500 0.2500
Pb1 0.2500 0.2500 0.7500

=====

Computed, not measured: a geometry-optimized Ca2LaPb structure at the GGA-PBE level of DFT.

ΔE_f ... -65 meV per atom
Magnetization ... 0.00 μB/cell
VASP energy ... -3.225 eV per atom

a = 9.3893 Å, b = 9.3893 Å, c = 6.8268 Å
α = 90.00°, β = 90.00°, γ = 90.00°
Space group I-42d (No. 122)
Unique sites:
Ca1 0.2034 0.7500 0.1250
La1 0.0000 0.0000 0.5000
Pb1 0.0000 0.0000 0.0000